[1]
This record from the Alexandria database describes crystalline K2ScSi at its relaxed geometry. The functional is PBE-GGA.

volume: 28.1 Å³ per atom
uncorrected formation energy: 0.399 eV per atom

a = 4.358 Å, b = 4.358 Å, c = 11.818 Å
α = 90.00°, β = 90.00°, γ = 90.00°
Space group I4/mmm (No. 139)
Inequivalent atoms, fractional coordinates:
K 0.000 0.500 0.250 x4
Sc 0.000 0.000 0.000 x2
Si 0.000 0.000 0.500 x2

---

[2]
This record from the Alexandria database describes crystalline KScSi at its relaxed geometry. The functional is PBE-GGA.

ΔE to the lowest computed polymorph: 0.196 eV/atom
volume: 34.1 Å³ per atom
uncorrected formation energy: -0.087 eV per atom

a = 4.075 Å, b = 6.101 Å, c = 8.233 Å
α = 90.00°, β = 90.08°, γ = 90.00°
Space group Pm (No. 6)
Inequivalent atoms, fractional coordinates:
K 0.000 0.000 0.000 x1
K 0.498 0.500 0.305 x1
Sc 0.500 0.000 0.582 x1
Sc 0.500 0.500 0.764 x1
Si 0.000 0.291 0.620 x2

---

[3]
This record from the Alexandria database describes crystalline KSc2Si at its relaxed geometry. The functional is PBE-GGA.

volume: 39.9 Å³ per atom
uncorrected formation energy: 0.531 eV per atom

a = 6.056 Å, b = 6.056 Å, c = 17.420 Å
α = 90.00°, β = 90.00°, γ = 90.00°
Space group I4_1/amd (No. 141, origin choice 2)
Inequivalent atoms, fractional coordinates:
K 0.000 0.250 0.375 x4
Sc 0.000 0.000 0.000 x8
Si 0.000 0.250 0.875 x4

---

[4]
This record from the Alexandria database describes crystalline KSc2Si at its relaxed geometry. The functional is PBE-GGA.

volume: 24.4 Å³ per atom
uncorrected formation energy: 0.492 eV per atom

a = 7.307 Å, b = 7.307 Å, c = 7.307 Å
α = 90.00°, β = 90.00°, γ = 90.00°
Space group F-43m (No. 216)
Inequivalent atoms, fractional coordinates:
K 0.000 0.000 0.000 x4
Sc 0.000 0.000 0.500 x4
Sc 0.250 0.250 0.750 x4
Si 0.250 0.250 0.250 x4

---

[5]
This record from the Alexandria database describes crystalline KScSi at its relaxed geometry. The functional is PBE-GGA.

ΔE to the lowest computed polymorph: 0.580 eV/atom
volume: 29.4 Å³ per atom
uncorrected formation energy: 0.297 eV per atom

a = 7.065 Å, b = 7.065 Å, c = 7.065 Å
α = 90.00°, β = 90.00°, γ = 90.00°
Space group F-43m (No. 216)
Inequivalent atoms, fractional coordinates:
K 0.000 0.000 0.000 x4
Sc 0.000 0.000 0.500 x4
Si 0.250 0.250 0.750 x4

---

[6]
This record from the Alexandria database describes crystalline K2ScSi at its relaxed geometry. The functional is PBE-GGA.

volume: 43.0 Å³ per atom
uncorrected formation energy: 0.070 eV per atom

a = 8.053 Å, b = 4.646 Å, c = 9.589 Å
α = 90.00°, β = 106.37°, γ = 90.00°
Space group Cm (No. 8)
Inequivalent atoms, fractional coordinates:
K 0.000 0.000 0.000 x2
K 0.186 0.000 0.555 x2
Sc 0.260 0.500 0.278 x2
Si 0.424 0.000 0.271 x2